Computed, not measured: a relaxed SrNdSm4S8 crystal at the PBE-GGA level of DFT.

The calculation puts the formation energy without anion corrections at -1.9762 eV per atom.

```
data_SrNdSm4S8
_cell_length_a 8.3305
_cell_length_b 8.3305
_cell_length_c 20.4981
_cell_angle_alpha 90.00
_cell_angle_beta 90.00
_cell_angle_gamma 120.00
_space_group_name_H-M_alt 'R 3 m'
_space_group_IT_number 160
_space_group_name_Hall 'R 3 -2"'
loop_
_atom_site_label
_atom_site_type_symbol
_atom_site_fract_x
_atom_site_fract_y
_atom_site_fract_z
_atom_site_occupancy
Sr1 Sr 0.0000 0.0000 0.0000 1
Nd1 Nd 0.0000 0.0000 0.3729 1
Sm1 Sm 0.0000 0.0000 0.7494 1
Sm2 Sm 0.0047 0.5023 0.8752 1
S1 S 0.0000 0.0000 0.1377 1
S2 S 0.0000 0.0000 0.6168 1
S3 S 0.0185 0.5093 0.1281 1
S4 S 0.1830 0.3659 0.9525 1
```

---

Computed, not measured: a relaxed NbAlCd2Mo crystal at the PBE-GGA level of DFT.

The formation energy comes out at 111 kJ per mole of atoms.

```
data_NbAlCd2Mo
_cell_length_a 5.350
_cell_length_b 5.350
_cell_length_c 4.671
_cell_angle_alpha 90.00
_cell_angle_beta 90.00
_cell_angle_gamma 90.00
_space_group_name_H-M_alt 'P 4/m m m'
_space_group_IT_number 123
_space_group_name_Hall '-P 4 2'
loop_
_atom_site_label
_atom_site_type_symbol
_atom_site_fract_x
_atom_site_fract_y
_atom_site_fract_z
_atom_site_occupancy
Nb1 Nb 0.000 0.000 0.000 1
Al1 Al 0.500 0.500 0.000 1
Cd1 Cd 0.000 0.500 0.500 1
Mo1 Mo 0.000 0.000 0.500 1
```

---

Computed, not measured: a relaxed La4W crystal at the PBE-GGA level of DFT.

The energy relative to the lowest polymorph listed for this composition comes out at 0.000 eV/atom. The formation energy comes out at 31 kJ per mole of atoms.

```
data_La4W
_cell_length_a 9.168
_cell_length_b 9.168
_cell_length_c 3.765
_cell_angle_alpha 90.00
_cell_angle_beta 90.00
_cell_angle_gamma 90.00
_space_group_name_H-M_alt 'I 4/m'
_space_group_IT_number 87
_space_group_name_Hall '-I 4'
loop_
_atom_site_label
_atom_site_type_symbol
_atom_site_fract_x
_atom_site_fract_y
_atom_site_fract_z
_atom_site_occupancy
La1 La 0.078 0.741 0.000 1
W1 W 0.000 0.000 0.500 1
```

---

Computed, not measured: a relaxed NdMg2Ga2Pd2 crystal at the PBE-GGA level of DFT.

The formation energy comes out at -62 kJ per mole of atoms.

```
data_NdMg2Ga2Pd2
_cell_length_a 4.4761
_cell_length_b 4.4761
_cell_length_c 24.2444
_cell_angle_alpha 90.00
_cell_angle_beta 90.00
_cell_angle_gamma 120.00
_space_group_name_H-M_alt 'R -3 m'
_space_group_IT_number 166
_space_group_name_Hall '-R 3 2"'
loop_
_atom_site_label
_atom_site_type_symbol
_atom_site_fract_x
_atom_site_fract_y
_atom_site_fract_z
_atom_site_occupancy
Nd1 Nd 0.0000 0.0000 0.0000 1
Mg1 Mg 0.0000 0.0000 0.1354 1
Ga1 Ga 0.0000 0.0000 0.4116 1
Pd1 Pd 0.0000 0.0000 0.2489 1
```

---

Computed, not measured: a relaxed Si2AgW crystal at the PBE-GGA level of DFT.

The calculation puts the formation energy without anion corrections at 0.5144 eV per atom. The energy relative to the lowest polymorph listed for this composition comes out at 0.302 eV/atom.

```
data_Si2AgW
_cell_length_a 6.245
_cell_length_b 6.245
_cell_length_c 6.245
_cell_angle_alpha 90.00
_cell_angle_beta 90.00
_cell_angle_gamma 90.00
_space_group_name_H-M_alt 'F m -3 m'
_space_group_IT_number 225
_space_group_name_Hall '-F 4 2 3'
loop_
_atom_site_label
_atom_site_type_symbol
_atom_site_fract_x
_atom_site_fract_y
_atom_site_fract_z
_atom_site_occupancy
Si1 Si 0.250 0.250 0.250 1
Ag1 Ag 0.000 0.000 0.000 1
W1 W 0.000 0.000 0.500 1
```

---

Computed, not measured: a relaxed UAgPbS4 crystal at the PBE-GGA level of DFT.

The calculation puts the formation energy without anion corrections at -0.7525 eV per atom.

```
data_UAgPbS4
_cell_length_a 8.282
_cell_length_b 9.261
_cell_length_c 9.152
_cell_angle_alpha 90.00
_cell_angle_beta 90.00
_cell_angle_gamma 90.00
_space_group_name_H-M_alt 'I m m a'
_space_group_IT_number 74
_space_group_name_Hall '-I 2b 2'
loop_
_atom_site_label
_atom_site_type_symbol
_atom_site_fract_x
_atom_site_fract_y
_atom_site_fract_z
_atom_site_occupancy
U1 U 0.250 0.250 0.250 1
Ag1 Ag 0.000 0.000 0.000 1
Pb1 Pb 0.000 0.250 0.697 1
S1 S 0.000 0.067 0.278 1
S2 S 0.215 0.250 0.971 1
```

---

Computed, not measured: a relaxed TeBr crystal at the PBE-GGA level of DFT.

The calculation puts the formation energy without anion corrections at -0.0638 eV per atom.

```
data_TeBr
_cell_length_a 8.099
_cell_length_b 3.972
_cell_length_c 10.037
_cell_angle_alpha 90.00
_cell_angle_beta 90.00
_cell_angle_gamma 90.00
_space_group_name_H-M_alt 'P n m a'
_space_group_IT_number 62
_space_group_name_Hall '-P 2ac 2n'
loop_
_atom_site_label
_atom_site_type_symbol
_atom_site_fract_x
_atom_site_fract_y
_atom_site_fract_z
_atom_site_occupancy
Te1 Te 0.018 0.250 0.101 1
Br1 Br 0.231 0.250 0.732 1
```

---

Computed, not measured: a relaxed AcLaPr3 crystal at the PBE-GGA level of DFT.

The energy relative to the lowest polymorph listed for this composition comes out at 0.000 eV/atom. The formation energy comes out at 2 kJ per mole of atoms.

```
data_AcLaPr3
_cell_length_a 19.194
_cell_length_b 5.368
_cell_length_c 7.524
_cell_angle_alpha 90.00
_cell_angle_beta 100.82
_cell_angle_gamma 90.00
_space_group_name_H-M_alt 'C 1 2/m 1'
_space_group_IT_number 12
_space_group_name_Hall '-C 2y'
loop_
_atom_site_label
_atom_site_type_symbol
_atom_site_fract_x
_atom_site_fract_y
_atom_site_fract_z
_atom_site_occupancy
Ac1 Ac 0.199 0.000 0.346 1
La1 La 0.099 0.500 0.047 1
Pr1 Pr 0.002 0.000 0.754 1
Pr2 Pr 0.097 0.500 0.547 1
Pr3 Pr 0.199 0.000 0.849 1
```